Record 1
Entry from the Alexandria database: a relaxed AcBiRh3 crystal (PBE).

The value obtained for the total DFT energy (no corrections) is -6.37 eV/atom. Its energy relative to the elements is -359.0 meV/atom. The magnetization comes out at 0.000 μB per formula unit. The space-group type is I4mm (107).

a b c (Å): 4.316 4.316 6.682
angles (deg): 108.84 108.84 90.00
Positions (direct):
Ac 0.976 0.976 0.952
Bi 0.642 0.642 0.285
Rh 0.277 0.777 0.554
Rh 0.777 0.277 0.554
Rh 0.418 0.418 0.835



Record 2
Entry from the Alexandria database: a relaxed AcBi2Rh crystal (PBE).

The value obtained for the total DFT energy (no corrections) is -5.26 eV/atom. Its energy relative to the elements is -452.6 meV/atom. As for the distance to the lowest polymorph of the same formula: 15.2 kJ per mole of atoms. The magnetization comes out at 0.000 μB per formula unit. The space-group type is R-3m (166).

a b c (Å): 4.566 4.566 6.910
angles (deg): 70.71 70.71 60.00
Positions (direct):
Ac 0.500 0.500 0.500
Rh 0.000 0.000 0.000
Bi 0.276 0.276 0.172
Bi 0.724 0.724 0.828



Record 3
Entry from the Alexandria database: a relaxed AcBi3Rh crystal (PBE).

The value obtained for the total DFT energy (no corrections) is -5.09 eV/atom. Its energy relative to the elements is -467.8 meV/atom. As for the distance to the lowest polymorph of the same formula: 0.0 kJ per mole of atoms. The magnetization comes out at 0.000 μB per formula unit. The space-group type is Amm2 (38).

a b c (Å): 4.711 5.013 6.848
angles (deg): 111.47 90.00 90.00
Positions (direct):
Ac 0.500 0.049 0.097
Bi 0.000 0.512 0.024
Bi 0.000 0.257 0.515
Bi 0.500 0.768 0.537
Rh 0.500 0.374 0.747